No. 1
# CaGaRh (PBE, optimized geometry)
data_CaGaRh
_chemical_formula_sum 'Ca2 Ga2 Rh2'
_cell_length_a 3.2989
_cell_length_b 3.2989
_cell_length_c 10.6305
_cell_angle_alpha 90.00
_cell_angle_beta 90.00
_cell_angle_gamma 90.00
_symmetry_space_group_name_H-M 'I 4 m m'
_symmetry_Int_Tables_number 107
_symmetry_space_group_name_Hall 'I 4 -2'
loop_
_atom_site_label
_atom_site_fract_x
_atom_site_fract_y
_atom_site_fract_z
Ca1 0.0000 0.0000 0.0000
Ga1 0.0000 0.0000 0.2935
Rh1 0.0000 0.0000 0.6906
# DFT total energy = -4.657 eV/atom

***

No. 2
# Ca3Ga3Rh2 (PBE, optimized geometry)
data_Ca3Ga3Rh2
_chemical_formula_sum 'Ca12 Ga12 Rh8'
_cell_length_a 8.0949
_cell_length_b 14.9782
_cell_length_c 5.8229
_cell_angle_alpha 90.00
_cell_angle_beta 90.00
_cell_angle_gamma 90.00
_symmetry_space_group_name_H-M 'P n m a'
_symmetry_Int_Tables_number 62
_symmetry_space_group_name_Hall '-P 2ac 2n'
loop_
_atom_site_label
_atom_site_fract_x
_atom_site_fract_y
_atom_site_fract_z
Ca1 0.0454 0.1090 0.1137
Ca2 0.1947 0.2500 0.6191
Ga1 0.1511 0.7500 0.5871
Ga2 0.1789 0.0397 0.6199
Rh1 0.1109 0.5986 0.3941
# DFT total energy = -4.371 eV/atom

***

No. 3
# CaGa3Rh (PBE, optimized geometry)
data_CaGa3Rh
_chemical_formula_sum 'Ca1 Ga3 Rh1'
_cell_length_a 4.7870
_cell_length_b 4.7870
_cell_length_c 4.7870
_cell_angle_alpha 90.00
_cell_angle_beta 90.00
_cell_angle_gamma 90.00
_symmetry_space_group_name_H-M 'P m -3 m'
_symmetry_Int_Tables_number 221
_symmetry_space_group_name_Hall '-P 4 2 3'
loop_
_atom_site_label
_atom_site_fract_x
_atom_site_fract_y
_atom_site_fract_z
Ca1 0.0000 0.0000 0.0000
Ga1 0.0000 0.5000 0.5000
Rh1 0.5000 0.5000 0.5000
# DFT total energy = -4.061 eV/atom